Record 1
! NdSnHPd2, optimized geometry, DFT PBE; values from VASP
! volume: 18.1 Å³/atom
! E: -51.95 eV/cell
&SYSTEM
  ibrav = 0, nat = 10, ntyp = 4
/
ATOMIC_SPECIES
Nd 144.24 Nd.upf
Sn 118.71 Sn.upf
H 1.01 H.upf
Pd 106.42 Pd.upf
ATOMIC_POSITIONS crystal
Nd 0.058 0.942 0.750
Nd 0.942 0.058 0.250
Sn 0.224 0.776 0.250
Sn 0.776 0.224 0.750
H 0.500 0.500 0.000
H 0.500 0.500 0.500
Pd 0.352 0.648 0.552
Pd 0.352 0.648 0.948
Pd 0.648 0.352 0.052
Pd 0.648 0.352 0.448
CELL_PARAMETERS angstrom
2.076 -5.756 0.000
2.076 5.756 0.000
0.000 0.000 7.565

***

Record 2
! DyTh2Pt9, optimized geometry, DFT PBE; values from VASP
! volume: 18.5 Å³/atom
! DFT formation energy: -1.11 eV per atom
&SYSTEM
  ibrav = 0, nat = 12, ntyp = 3
/
ATOMIC_SPECIES
Dy 162.50 Dy.upf
Th 232.04 Th.upf
Pt 195.08 Pt.upf
ATOMIC_POSITIONS crystal
Dy 0.000 0.000 0.000
Th 0.000 0.000 0.329
Th 0.000 0.000 0.671
Pt 0.000 0.500 0.163
Pt 0.000 0.500 0.500
Pt 0.000 0.500 0.837
Pt 0.500 0.000 0.163
Pt 0.500 0.000 0.500
Pt 0.500 0.000 0.837
Pt 0.500 0.500 0.000
Pt 0.500 0.500 0.332
Pt 0.500 0.500 0.668
CELL_PARAMETERS angstrom
4.203 0.000 0.000
0.000 4.203 0.000
0.000 0.000 12.564

***

Record 3
! LiHoTm, optimized geometry, DFT PBE; values from VASP
! volume: 26.8 Å³/atom
! DFT formation energy: 0.10 eV per atom
&SYSTEM
  ibrav = 0, nat = 6, ntyp = 3
/
ATOMIC_SPECIES
Li 6.94 Li.upf
Ho 164.93 Ho.upf
Tm 168.93 Tm.upf
ATOMIC_POSITIONS crystal
Li 0.000 0.000 0.000
Li 0.500 0.500 0.500
Ho 0.000 0.000 0.657
Ho 0.500 0.500 0.157
Tm 0.000 0.000 0.347
Tm 0.500 0.500 0.847
CELL_PARAMETERS angstrom
3.594 0.000 0.000
0.000 3.594 0.000
0.000 0.000 12.467

***

Record 4
! NbBrO2F, optimized geometry, DFT PBE; values from VASP
! formation energy without anion corrections: 487 meV per atom
! volume: 15.8 Å³/atom
&SYSTEM
  ibrav = 0, nat = 5, ntyp = 4
/
ATOMIC_SPECIES
Nb 92.91 Nb.upf
Br 79.90 Br.upf
O 16.00 O.upf
F 19.00 F.upf
ATOMIC_POSITIONS crystal
Nb 0.000 0.000 0.000
Br 0.500 0.500 0.500
O 0.000 0.500 0.500
O 0.500 0.000 0.500
F 0.500 0.500 0.000
CELL_PARAMETERS angstrom
3.862 0.000 0.000
0.000 3.862 0.000
0.000 0.000 5.302

***

Record 5
! Ta3Br, optimized geometry, DFT PBE; values from VASP
! formation energy without anion corrections: 352 meV per atom
! volume: 20.6 Å³/atom
&SYSTEM
  ibrav = 0, nat = 4, ntyp = 2
/
ATOMIC_SPECIES
Ta 180.95 Ta.upf
Br 79.90 Br.upf
ATOMIC_POSITIONS crystal
Ta 0.000 0.000 0.000
Ta 0.500 0.500 0.199
Ta 0.500 0.500 0.801
Br 0.000 0.000 0.500
CELL_PARAMETERS angstrom
3.306 0.000 0.000
0.000 3.306 0.000
0.000 0.000 7.535

***

Record 6
! FeMoH2Se, optimized geometry, DFT PBE; values from VASP
! volume: 12.3 Å³/atom
! E: -26.52 eV/cell
&SYSTEM
  ibrav = 0, nat = 5, ntyp = 4
/
ATOMIC_SPECIES
Fe 55.84 Fe.upf
Mo 95.94 Mo.upf
H 1.01 H.upf
Se 78.96 Se.upf
ATOMIC_POSITIONS crystal
Fe 0.000 0.000 0.000
Mo 0.000 0.000 0.500
H 0.000 0.500 0.000
H 0.500 0.000 0.000
Se 0.500 0.500 0.500
CELL_PARAMETERS angstrom
3.540 0.000 0.000
0.000 3.540 0.000
0.000 0.000 4.915

***

Record 7
! Sr7Tl2Au2, optimized geometry, DFT PBE; values from VASP
! volume: 40.1 Å³/atom
! DFT formation energy: -0.37 eV per atom
&SYSTEM
  ibrav = 0, nat = 11, ntyp = 3
/
ATOMIC_SPECIES
Sr 87.62 Sr.upf
Tl 204.38 Tl.upf
Au 196.97 Au.upf
ATOMIC_POSITIONS crystal
Sr 0.000 0.000 0.000
Sr 0.000 0.500 0.262
Sr 0.000 0.500 0.738
Sr 0.500 0.000 0.262
Sr 0.500 0.000 0.738
Sr 0.500 0.500 0.248
Sr 0.500 0.500 0.752
Tl 0.172 0.172 0.500
Tl 0.828 0.828 0.500
Au 0.294 0.706 0.000
Au 0.706 0.294 0.000
CELL_PARAMETERS angstrom
4.451 -6.211 0.000
4.451 6.211 0.000
0.000 0.000 7.977

***

Record 8
! Ca3SnF2, optimized geometry, DFT PBE; values from VASP
! formation energy without anion corrections: -2276 meV per atom
! volume: 23.4 Å³/atom
&SYSTEM
  ibrav = 0, nat = 12, ntyp = 3
/
ATOMIC_SPECIES
Ca 40.08 Ca.upf
Sn 118.71 Sn.upf
F 19.00 F.upf
ATOMIC_POSITIONS crystal
Ca 0.112 0.888 0.750
Ca 0.185 0.414 0.750
Ca 0.414 0.185 0.250
Ca 0.586 0.815 0.750
Ca 0.815 0.586 0.250
Ca 0.888 0.112 0.250
Sn 0.304 0.696 0.250
Sn 0.696 0.304 0.750
F 0.154 0.154 0.000
F 0.154 0.154 0.500
F 0.846 0.846 0.000
F 0.846 0.846 0.500
CELL_PARAMETERS angstrom
4.517 -5.854 0.000
4.517 5.854 0.000
0.000 0.000 5.311

***

Record 9
! Li2CaPRh, optimized geometry, DFT PBE; values from VASP
! volume: 18.7 Å³/atom
! DFT formation energy: -0.48 eV per atom
&SYSTEM
  ibrav = 0, nat = 5, ntyp = 4
/
ATOMIC_SPECIES
Li 6.94 Li.upf
Ca 40.08 Ca.upf
P 30.97 P.upf
Rh 102.91 Rh.upf
ATOMIC_POSITIONS crystal
Li 0.000 0.500 0.000
Li 0.500 0.000 0.000
Ca 0.000 0.000 0.500
P 0.500 0.500 0.000
Rh 0.500 0.500 0.500
CELL_PARAMETERS angstrom
4.550 0.000 0.000
0.000 4.550 0.000
0.000 0.000 4.516

***

Record 10
! DyTm2Cd, optimized geometry, DFT PBE; values from VASP
! volume: 27.6 Å³/atom
! DFT formation energy: 0.01 eV per atom
&SYSTEM
  ibrav = 0, nat = 16, ntyp = 3
/
ATOMIC_SPECIES
Dy 162.50 Dy.upf
Tm 168.93 Tm.upf
Cd 112.41 Cd.upf
ATOMIC_POSITIONS crystal
Dy 0.000 0.000 0.000
Dy 0.000 0.500 0.500
Dy 0.500 0.000 0.500
Dy 0.500 0.500 0.000
Tm 0.250 0.250 0.250
Tm 0.250 0.250 0.750
Tm 0.250 0.750 0.250
Tm 0.250 0.750 0.750
Tm 0.750 0.250 0.250
Tm 0.750 0.250 0.750
Tm 0.750 0.750 0.250
Tm 0.750 0.750 0.750
Cd 0.000 0.000 0.500
Cd 0.000 0.500 0.000
Cd 0.500 0.000 0.000
Cd 0.500 0.500 0.500
CELL_PARAMETERS angstrom
7.618 0.000 0.000
0.000 7.618 0.000
0.000 0.000 7.618

***

Record 11
! NiPtPb, optimized geometry, DFT PBE; values from VASP
! volume: 18.8 Å³/atom
! DFT formation energy: 0.07 eV per atom
&SYSTEM
  ibrav = 0, nat = 12, ntyp = 3
/
ATOMIC_SPECIES
Ni 58.69 Ni.upf
Pt 195.08 Pt.upf
Pb 207.20 Pb.upf
ATOMIC_POSITIONS crystal
Ni 0.000 0.000 0.000
Ni 0.000 0.500 0.500
Ni 0.500 0.000 0.500
Ni 0.500 0.500 0.000
Pt 0.250 0.250 0.250
Pt 0.250 0.750 0.750
Pt 0.750 0.250 0.750
Pt 0.750 0.750 0.250
Pb 0.250 0.250 0.750
Pb 0.250 0.750 0.250
Pb 0.750 0.250 0.250
Pb 0.750 0.750 0.750
CELL_PARAMETERS angstrom
6.083 0.000 0.000
0.000 6.083 0.000
0.000 0.000 6.083

***

Record 12
! SbTe2AsO, optimized geometry, DFT PBE; values from VASP
! formation energy without anion corrections: 299 meV per atom
! volume: 22.6 Å³/atom
&SYSTEM
  ibrav = 0, nat = 5, ntyp = 4
/
ATOMIC_SPECIES
Sb 121.76 Sb.upf
Te 127.60 Te.upf
As 74.92 As.upf
O 16.00 O.upf
ATOMIC_POSITIONS crystal
Sb 0.000 0.000 0.000
Te 0.000 0.500 0.500
Te 0.500 0.000 0.500
As 0.500 0.500 0.000
O 0.000 0.000 0.500
CELL_PARAMETERS angstrom
4.841 0.000 0.000
0.000 4.841 0.000
0.000 0.000 4.827